No. 1
{"formula": "HgBiSbI", "functional": "GGA-PBE", "state": "optimized geometry", "e_form_raw_ev_per_atom": -0.079, "volume_a3_per_cell": 138.4, "lattice": [[4.3983, 0.0000, 0.0000], [2.1992, 3.8396, -0.0669], [2.1992, 0.9572, 8.1799]], "species": ["Hg", "Bi", "Sb", "I"], "frac_coords": [[0.9115, 0.3830, 0.7940], [0.4016, 0.8426, 0.3541], [0.6499, 0.1439, 0.5564], [0.1662, 0.6186, 0.0491]]}


No. 2
{"formula": "HgBiSe2I", "functional": "GGA-PBE", "state": "optimized geometry", "e_form_raw_ev_per_atom": -0.244, "volume_a3_per_cell": 390.6, "lattice": [[4.4299, 0.0000, 0.0000], [0.0000, 11.6588, -1.7578], [0.0000, -6.2538, 8.5057]], "species": ["Hg", "Hg", "Bi", "Bi", "Se", "Se", "Se", "Se", "I", "I"], "frac_coords": [[0.2500, 0.5398, 0.6370], [0.7500, 0.4602, 0.3630], [0.2500, 0.3559, 0.0105], [0.7500, 0.6441, 0.9895], [0.7500, 0.7151, 0.7582], [0.2500, 0.2849, 0.2418], [0.7500, 0.5905, 0.2201], [0.2500, 0.4095, 0.7799], [0.2500, 0.9118, 0.2294], [0.7500, 0.0882, 0.7706]]}


| no. | mass density (g/cm³) |
| --- | --- |
| 1 | 7.9 |
| 2 | 5.9 |